[1]
{"formula": "NiMoRu", "functional": "PBE", "state": "relaxed", "relative_energy_ev_per_fu": 0.21, "final_energy_ev_per_atom": -8.614, "space_group": "P-1, No. 2", "lattice_angstrom": [[4.626, 0.000, 0.000], [-2.262, 4.062, 0.000], [-2.206, -1.435, 4.359]], "species": ["Ni", "Ni", "Mo", "Mo", "Ru", "Ru"], "fractional_positions": [[0.179, 0.252, 0.252], [0.821, 0.748, 0.748], [0.143, 0.393, 0.741], [0.857, 0.607, 0.259], [0.498, 0.911, 0.239], [0.502, 0.089, 0.761]]}

***

[2]
{"formula": "NiMoRu2", "functional": "PBE", "state": "relaxed", "relative_energy_ev_per_fu": 0.00, "final_energy_ev_per_atom": -8.806, "space_group": "P4/mmm, No. 123", "lattice_angstrom": [[3.840, 0.000, 0.000], [0.000, 3.840, 0.000], [0.000, 0.000, 3.698]], "species": ["Ni", "Mo", "Ru", "Ru"], "fractional_positions": [[0.000, 0.000, 0.000], [0.500, 0.500, 0.000], [0.000, 0.500, 0.500], [0.500, 0.000, 0.500]]}

***

Per-record DOS(E_F), states/eV/atom: 1.126; 0.611
Per-record magnetization, μB/atom: 0.00; 0.00
Per-record formation energy, eV per atom: 0.02; -0.01